Entry 1:
DFT (PBE) results for a geometry-optimized Mn2CuBiPb structure.

Output
The crystal system is tetragonal.

Unit cell a=5.206 b=5.206 c=4.874 alpha=90.00 beta=90.00 gamma=90.00
Space group P4/mmm (No. 123)
Inequivalent atoms, fractional coordinates:
Mn (0.000, 0.500, 0.000) x2
Cu (0.000, 0.000, 0.500) x1
Bi (0.500, 0.500, 0.500) x1
Pb (0.000, 0.000, 0.000) x1



Entry 2:
DFT (PBE) results for a geometry-optimized MnCuSiBi2 structure.

Output
The crystal system is tetragonal. As for the energy relative to the elements, uncorrected: 857 meV/atom.

Unit cell a=5.177 b=5.177 c=4.632 alpha=90.00 beta=90.00 gamma=90.00
Space group P4/mmm (No. 123)
Inequivalent atoms, fractional coordinates:
Mn (0.000, 0.000, 0.000) x1
Cu (0.000, 0.000, 0.500) x1
Si (0.500, 0.500, 0.500) x1
Bi (0.000, 0.500, 0.000) x2



Entry 3:
DFT (PBE) results for a geometry-optimized TiMnCuBi2 structure.

Output
The crystal system is tetragonal.

Unit cell a=5.344 b=5.344 c=4.803 alpha=90.00 beta=90.00 gamma=90.00
Space group P4/mmm (No. 123)
Inequivalent atoms, fractional coordinates:
Ti (0.000, 0.000, 0.000) x1
Mn (0.500, 0.500, 0.500) x1
Cu (0.000, 0.000, 0.500) x1
Bi (0.000, 0.500, 0.000) x2



Entry 4:
DFT (PBE) results for a geometry-optimized MnV2CuBi structure.

Output
The crystal system is tetragonal. The value obtained for the energy above the most stable polymorph in this dataset is 0.000 eV/atom.

Unit cell a=4.293 b=4.293 c=4.738 alpha=90.00 beta=90.00 gamma=90.00
Space group P4/mmm (No. 123)
Inequivalent atoms, fractional coordinates:
Mn (0.000, 0.000, 0.000) x1
V (0.000, 0.500, 0.000) x2
Cu (0.000, 0.000, 0.500) x1
Bi (0.500, 0.500, 0.500) x1



Entry 5:
DFT (PBE) results for a geometry-optimized MnV2CuBi structure.

Output
The crystal system is tetragonal. The value obtained for the energy above the most stable polymorph in this dataset is 0.199 eV/atom.

Unit cell a=4.384 b=4.384 c=4.939 alpha=90.00 beta=90.00 gamma=90.00
Space group P4/mmm (No. 123)
Inequivalent atoms, fractional coordinates:
Mn (0.000, 0.000, 0.000) x1
V (0.000, 0.500, 0.000) x2
Cu (0.500, 0.500, 0.500) x1
Bi (0.000, 0.000, 0.500) x1



Entry 6:
DFT (PBE) results for a geometry-optimized Cu2Bi4Mo structure.

Output
The crystal system is tetragonal.

Unit cell a=5.420 b=5.420 c=13.180 alpha=90.00 beta=90.00 gamma=90.00
Space group I4/mmm (No. 139)
Inequivalent atoms, fractional coordinates:
Cu (0.000, 0.000, 0.091) x4
Bi (0.000, 0.000, 0.288) x4
Bi (0.000, 0.500, 0.000) x4
Mo (0.000, 0.000, 0.500) x2



Entry 7:
DFT (PBE) results for a geometry-optimized NaCuBi2Mo structure.

Output
The crystal system is tetragonal.

Unit cell a=5.269 b=5.269 c=5.017 alpha=90.00 beta=90.00 gamma=90.00
Space group P4/mmm (No. 123)
Inequivalent atoms, fractional coordinates:
Na (0.000, 0.000, 0.000) x1
Cu (0.500, 0.500, 0.500) x1
Bi (0.000, 0.500, 0.500) x2
Mo (0.500, 0.500, 0.000) x1



Entry 8:
DFT (PBE) results for a geometry-optimized CuNiBiMo2 structure.

Output
The crystal system is tetragonal.

Unit cell a=4.636 b=4.636 c=4.361 alpha=90.00 beta=90.00 gamma=90.00
Space group P4/mmm (No. 123)
Inequivalent atoms, fractional coordinates:
Cu (0.000, 0.000, 0.000) x1
Ni (0.000, 0.000, 0.500) x1
Bi (0.500, 0.500, 0.500) x1
Mo (0.000, 0.500, 0.000) x2



Record order is preserved below.
E: -5.04 -4.43 -4.98 -6.32 -6.12 -4.35 -4.04 -5.83 eV per atom